NdAgH6Ru | GGA-PBE | optimized geometry

As for the energy: -4.2908 eV per atom.

The structure belongs to space group P312 (No. 149); the cell edges are 4.8328, 4.8328 and 4.3498 Å and the angles 90.00°, 90.00° and 120.00°. The asymmetric unit holds Nd at (0.0000, 0.0000, 0.0000), Ag at (0.3333, 0.6667, 0.5000), H at (0.5206, 0.0449, 0.7770) and Ru at (0.6667, 0.3333, 0.5000).

***

ScRe2HgSe | GGA-PBE | optimized geometry

The uncorrected formation energy is 2.11 eV/atom. As for the energy: -4.8890 eV per atom.

The structure belongs to space group P4/mmm (No. 123); the cell edges are 4.8109, 4.8109 and 5.1862 Å and the angles 90.00°, 90.00° and 90.00°. The asymmetric unit holds Sc at (0.0000, 0.0000, 0.0000), Re at (0.0000, 0.5000, 0.0000), Hg at (0.0000, 0.0000, 0.5000) and Se at (0.5000, 0.5000, 0.5000).

***

MgOsRu | GGA-PBE | optimized geometry

The value obtained for the formation energy is 14.3 kJ/mol of atoms. The energy above the most stable polymorph in this dataset is 77.8 meV per atom. As for the energy: -7.2183 eV per atom.

The structure belongs to space group Cm (No. 8); the cell edges are 10.2863, 2.7798 and 6.5940 Å and the angles 90.00°, 104.91° and 90.00°. The asymmetric unit holds Mg at (0.0000, 0.0000, 0.0000), Mg at (0.2263, 0.5000, 0.9337), Os at (0.1726, 0.5000, 0.3382), Os at (0.3914, 0.0000, 0.2942), Ru at (0.0561, 0.0000, 0.5936) and Ru at (0.3345, 0.0000, 0.6462).